First-principles (PBE with a Hubbard U) data for an optimized crystal structure of ScMn2AlO6, as listed in Alexandria via LeMat-Bulk.

## Properties
ρ, g cm⁻³: 4.61
Crystal system: triclinic
Calculated total energy, eV per atom: -7.62
Symmetry: P1, No. 1

a = 5.0355 Å, b = 5.0499 Å, c = 5.3970 Å
α = 62.24°, β = 62.31°, γ = 59.89°
Last column: nearest neighbours and their distance in Å.
Positions (direct):
O (0.6006, 0.2345, 0.2364)  1 Al 1.90, 2 Mn 2.00-2.02
O (0.2317, 0.9306, 0.2360)  1 Al 1.90, 2 Mn 2.01-2.02
O (0.1342, 0.3980, 0.7556)  1 Al 1.97, 2 Mn 1.99-2.02, 1 Sc 2.05
O (0.7157, 0.1300, 0.7590)  2 Mn 1.96-2.04, 1 Al 1.99, 1 Sc 2.05
O (0.3971, 0.7137, 0.7579)  2 Mn 1.97-2.04, 1 Al 1.98, 1 Sc 2.04
O (0.9271, 0.5991, 0.2383)  1 Al 1.90, 2 Mn 1.99-2.04
Sc (0.8089, 0.8108, 0.5701)  6 O 2.04-2.20
Al (0.3153, 0.3178, 0.0489)  6 O 1.90-1.99
Mn (0.0123, 0.0119, 0.9642)  6 O 1.96-2.04
Mn (0.5188, 0.5152, 0.4488)  6 O 1.99-2.04